First-principles (GGA-PBE) data for Tl2MoP after structural relaxation, as listed in the Alexandria database.

Structure (POSCAR):
```
Tl2MoP
1.0
3.4792 -1.5845 3.7602
1.8960 4.2603 2.6476
-4.9896 -1.5751 -1.1738
P Mo Tl
1 1 2
Direct
0.7500 0.2500 0.5000
0.5000 0.5000 0.0000
0.2500 0.7500 0.5000
0.0000 0.0000 0.0000
```

Values from the calculation:
space-group type: No. 119
crystal system: tetragonal
distance to the lowest polymorph of the same formula: 750 meV/atom
final energy: -17.678 eV per formula unit
ΔE_f: 3.30 eV per formula unit